No. 1
CdFe3H | PBE | relaxed

Lattice parameters (Å, degrees): 4.9209 4.9209 4.9209 90.00 90.00 90.00
Fractional coordinates of all 5 atoms:
Cd: 0.0000 0.0000 0.0000
Fe: 0.0000 0.0000 0.5000
Fe: 0.0000 0.5000 0.0000
Fe: 0.5000 0.0000 0.0000
H: 0.5000 0.5000 0.5000

Calculated total energy   -18.9 eV/f.u.
Crystal system   cubic
Space group   Pm-3m



No. 2
CdFe2HIr | PBE | relaxed

Lattice parameters (Å, degrees): 3.8781 3.8781 3.8296 90.00 90.00 90.00
Fractional coordinates of all 5 atoms:
Cd: 0.0000 0.0000 0.0000
Fe: 0.0000 0.5000 0.5000
Fe: 0.5000 0.0000 0.5000
H: 0.5000 0.5000 0.5000
Ir: 0.5000 0.5000 0.0000

Calculated total energy   -27.9 eV/f.u.
Crystal system   tetragonal
Space group   P4/mmm



No. 3
K2CdFeH6 | PBE | relaxed

Lattice parameters (Å, degrees): 5.5105 5.5169 5.5262 60.42 60.53 60.67
Fractional coordinates of all 10 atoms:
K: 0.2493 0.2493 0.2492
K: 0.7507 0.7507 0.7508
Cd: 0.5000 0.5000 0.5000
Fe: 0.0000 0.0000 0.0000
H: 0.2144 0.7793 0.2137
H: 0.2148 0.2145 0.7786
H: 0.2206 0.7863 0.7868
H: 0.7794 0.2137 0.2132
H: 0.7852 0.7855 0.2214
H: 0.7856 0.2207 0.7863

Calculated total energy   -31.7 eV/f.u.
Crystal system   triclinic
Space group   P-1